[1]
Density functional theory data (meta-GGA SCAN) for a PBEsol-optimized structure of ReP.

Summary:
Energy of formation: 0.3429 eV per atom
N(E_F): 0.82 states/eV/f.u.
Space group: No. 194

Unit cell a=3.7571 b=3.7571 c=4.5002 alpha=90.00 beta=90.00 gamma=120.00
Last column: nearest neighbours and their distance in Å.
Positions (direct):
Re: 0.3333 0.6667 0.2500  6 P 2.44
Re: 0.6667 0.3333 0.7500  6 P 2.44
P: 0.0000 0.0000 0.0000  2 P 2.25, 6 Re 2.44
P: 0.0000 0.0000 0.5000  2 P 2.25, 6 Re 2.44

---

[2]
Density functional theory data (meta-GGA SCAN) for a PBEsol-optimized structure of YF3.

Summary:
VASP energy: -13.9610 eV/atom
N(E_F): 0.00 states/eV/f.u.
Space group: No. 221

Unit cell a=4.3269 b=4.3269 c=4.3269 alpha=90.00 beta=90.00 gamma=90.00
Last column: nearest neighbours and their distance in Å.
Positions (direct):
Y: 0.0000 0.0000 0.0000  6 F 2.16
F: 0.0000 0.0000 0.5000  2 Y 2.16
F: 0.0000 0.5000 0.0000  2 Y 2.16
F: 0.5000 0.0000 0.0000  2 Y 2.16

---

[3]
Density functional theory data (meta-GGA SCAN) for a PBEsol-optimized structure of Y6Al7.

Summary:
Energy of formation: -0.4347 eV per atom
N(E_F): 8.08 states/eV/f.u.
Space group: No. 166

Unit cell a=10.8454 b=10.8454 c=10.8454 alpha=30.07 beta=30.07 gamma=30.07
Last column: nearest neighbours and their distance in Å.
Positions (direct):
Y: 0.0507 0.0507 0.0507  2 Y 3.04-3.15, 6 Al 3.13
Y: 0.1488 0.1488 0.1488  1 Y 3.04, 12 Al 3.22-3.30
Y: 0.3351 0.3351 0.3351  9 Y 3.25-3.63, 6 Al 3.32-3.39
Y: 0.6649 0.6649 0.6649  9 Y 3.25-3.63, 6 Al 3.32-3.39
Y: 0.8512 0.8512 0.8512  1 Y 3.04, 12 Al 3.22-3.30
Y: 0.9493 0.9493 0.9493  2 Y 3.04-3.15, 6 Al 3.13
Al: 0.0894 0.5971 0.5971  5 Al 2.77-2.86
Al: 0.4029 0.4029 0.9106  5 Al 2.77-2.86
Al: 0.4029 0.9106 0.4029  5 Al 2.77-2.86
Al: 0.5000 0.5000 0.5000  6 Al 2.78
Al: 0.5971 0.0894 0.5971  5 Al 2.77-2.86
Al: 0.5971 0.5971 0.0894  5 Al 2.77-2.86
Al: 0.9106 0.4029 0.4029  5 Al 2.77-2.86

---

[4]
Density functional theory data (meta-GGA SCAN) for a PBEsol-optimized structure of MgZr2InIr.

Summary:
Energy of formation: 0.9904 eV per atom
N(E_F): 3.99 states/eV/f.u.
Space group: No. 123

Unit cell a=5.1819 b=5.1819 c=4.8289 alpha=90.00 beta=90.00 gamma=90.00
Last column: nearest neighbours and their distance in Å.
Positions (direct):
Mg: 0.0000 0.0000 0.0000  8 Zr 3.54, 4 Ir 3.66
Zr: 0.0000 0.5000 0.5000  2 In 2.59
Zr: 0.5000 0.0000 0.5000  2 In 2.59
In: 0.5000 0.5000 0.5000  2 Ir 2.41, 4 Zr 2.59
Ir: 0.5000 0.5000 0.0000  2 In 2.41

---

[5]
Density functional theory data (meta-GGA SCAN) for a PBEsol-optimized structure of Ba2BeCrH.

Summary:
VASP energy: -20.4328 eV/atom
N(E_F): 2.23 states/eV/f.u.
Space group: No. 123

Unit cell a=5.8630 b=5.8630 c=4.2599 alpha=90.00 beta=90.00 gamma=90.00
Last column: nearest neighbours and their distance in Å.
Positions (direct):
Ba: 0.0000 0.5000 0.0000  2 Cr 2.93
Ba: 0.5000 0.0000 0.0000  2 Cr 2.93
Be: 0.0000 0.0000 0.5000  2 Cr 2.13
Cr: 0.0000 0.0000 0.0000  2 Be 2.13
H: 0.5000 0.5000 0.5000  8 Ba 3.62

---

[6]
Density functional theory data (meta-GGA SCAN) for a PBEsol-optimized structure of TaWSe3.

Summary:
VASP energy: -38.3037 eV/atom
N(E_F): 2.73 states/eV/f.u.
Space group: No. 221

Unit cell a=4.9264 b=4.9264 c=4.9264 alpha=90.00 beta=90.00 gamma=90.00
Last column: nearest neighbours and their distance in Å.
Positions (direct):
Ta: 0.0000 0.0000 0.0000  6 Se 2.46
W: 0.5000 0.5000 0.5000  12 Se 3.48
Se: 0.0000 0.0000 0.5000  2 Ta 2.46
Se: 0.0000 0.5000 0.0000  2 Ta 2.46
Se: 0.5000 0.0000 0.0000  2 Ta 2.46

---

[7]
Density functional theory data (meta-GGA SCAN) for a PBEsol-optimized structure of BaTl2Ag.

Summary:
Energy of formation: -0.3257 eV per atom
N(E_F): 1.81 states/eV/f.u.
Space group: No. 160

Unit cell a=4.8521 b=4.8521 c=18.0129 alpha=90.00 beta=90.00 gamma=120.00
Last column: nearest neighbours and their distance in Å.
Positions (direct):
Ba: 0.0000 0.0000 0.0000  4 Ag 3.42-3.81, 6 Tl 3.52-3.55
Ba: 0.3333 0.6667 0.6667  4 Ag 3.42-3.81, 6 Tl 3.52-3.55
Ba: 0.6667 0.3333 0.3333  4 Ag 3.42-3.81, 6 Tl 3.52-3.55
Tl: 0.0000 0.0000 0.5455  3 Ag 2.83
Tl: 0.0000 0.0000 0.7849  3 Ag 3.09, 3 Tl 3.27
Tl: 0.3333 0.6667 0.2121  3 Ag 2.83
Tl: 0.3333 0.6667 0.4516  3 Ag 3.09, 3 Tl 3.27
Tl: 0.6667 0.3333 0.1182  3 Ag 3.09, 3 Tl 3.27
Tl: 0.6667 0.3333 0.8788  3 Ag 2.83
Ag: 0.0000 0.0000 0.1900  6 Tl 2.83-3.09
Ag: 0.3333 0.6667 0.8567  6 Tl 2.83-3.09
Ag: 0.6667 0.3333 0.5233  6 Tl 2.83-3.09

---

[8]
Density functional theory data (meta-GGA SCAN) for a PBEsol-optimized structure of Tl4Au3.

Summary:
Energy of formation: -0.0031 eV per atom
N(E_F): 2.36 states/eV/f.u.
Space group: No. 191

Unit cell a=5.5076 b=5.5076 c=6.1188 alpha=90.00 beta=90.00 gamma=120.00
Last column: nearest neighbours and their distance in Å.
Positions (direct):
Tl: 0.0000 0.0000 0.2471  2 Tl 3.02-3.10, 6 Au 3.16
Tl: 0.0000 0.0000 0.7529  2 Tl 3.02-3.10, 6 Au 3.16
Tl: 0.3333 0.6667 0.0000  9 Tl 3.18-3.52, 6 Au 3.45
Tl: 0.6667 0.3333 0.0000  9 Tl 3.18-3.52, 6 Au 3.45
Au: 0.0000 0.5000 0.5000  4 Au 2.75
Au: 0.5000 0.0000 0.5000  4 Au 2.75
Au: 0.5000 0.5000 0.5000  4 Au 2.75

---

[9]
Density functional theory data (meta-GGA SCAN) for a PBEsol-optimized structure of ReIrBr2.

Summary:
VASP energy: -44.7767 eV/atom
N(E_F): 2.38 states/eV/f.u.
Space group: No. 99

Unit cell a=3.0098 b=3.0098 c=8.4435 alpha=90.00 beta=90.00 gamma=90.00
Last column: nearest neighbours and their distance in Å.
Positions (direct):
Re: 0.0000 0.0000 0.0000  4 Ir 2.60, 4 Br 2.79
Ir: 0.5000 0.5000 0.8232  4 Re 2.60, 4 Br 2.89
Br: 0.0000 0.0000 0.5924  4 Ir 2.89, 4 Br 3.01
Br: 0.5000 0.5000 0.2144  4 Re 2.79, 4 Br 3.01

---

[10]
Density functional theory data (meta-GGA SCAN) for a PBEsol-optimized structure of Ca2AlCo.

Summary:
Energy of formation: 0.1310 eV per atom
N(E_F): 2.98 states/eV/f.u.
Space group: No. 123

Unit cell a=3.4351 b=3.4351 c=7.3353 alpha=90.00 beta=90.00 gamma=90.00
Last column: nearest neighbours and their distance in Å.
Positions (direct):
Ca: 0.0000 0.0000 0.2210  4 Co 2.92, 4 Al 3.18, 1 Ca 3.24
Ca: 0.0000 0.0000 0.7790  4 Co 2.92, 4 Al 3.18, 1 Ca 3.24
Al: 0.5000 0.5000 0.5000  8 Ca 3.18, 4 Al 3.44
Co: 0.5000 0.5000 0.0000  8 Ca 2.92

---

[11]
Density functional theory data (meta-GGA SCAN) for a PBEsol-optimized structure of Ba2SbPb.

Summary:
VASP energy: -48.9067 eV/atom
N(E_F): 2.87 states/eV/f.u.
Space group: No. 38

Unit cell a=4.6467 b=5.2311 c=12.6939 alpha=90.00 beta=90.00 gamma=90.00
Last column: nearest neighbours and their distance in Å.
Positions (direct):
Ba: 0.0000 0.0000 0.0000  4 Pb 3.57, 3 Sb 3.58-3.80
Ba: 0.0000 0.5000 0.5000  4 Pb 3.57, 3 Sb 3.58-3.80
Ba: 0.5000 0.0000 0.2727  4 Sb 3.57, 3 Pb 3.59-3.80
Ba: 0.5000 0.5000 0.7727  4 Sb 3.57, 3 Pb 3.59-3.80
Sb: 0.0000 0.0000 0.7177  2 Pb 3.10
Sb: 0.0000 0.5000 0.2177  2 Pb 3.10
Pb: 0.5000 0.0000 0.5558  2 Sb 3.10
Pb: 0.5000 0.5000 0.0558  2 Sb 3.10

---

[12]
Density functional theory data (meta-GGA SCAN) for a PBEsol-optimized structure of Si4Pt.

Summary:
VASP energy: -21.7752 eV/atom
N(E_F): 2.06 states/eV/f.u.
Space group: No. 87

Unit cell a=5.7041 b=5.7041 c=4.4628 alpha=90.00 beta=90.00 gamma=90.00
Last column: nearest neighbours and their distance in Å.
Positions (direct):
Si: 0.1027 0.3002 0.0000  1 Pt 2.54, 3 Si 2.56
Si: 0.1998 0.6027 0.5000  1 Pt 2.54, 3 Si 2.56
Si: 0.3002 0.8973 0.0000  1 Pt 2.54, 3 Si 2.56
Si: 0.3973 0.1998 0.5000  1 Pt 2.54, 3 Si 2.56
Si: 0.6027 0.8002 0.5000  1 Pt 2.54, 3 Si 2.56
Si: 0.6998 0.1027 0.0000  1 Pt 2.54, 3 Si 2.56
Si: 0.8002 0.3973 0.5000  1 Pt 2.54, 3 Si 2.56
Si: 0.8973 0.6998 0.0000  1 Pt 2.54, 3 Si 2.56
Pt: 0.0000 0.0000 0.5000  4 Si 2.54
Pt: 0.5000 0.5000 0.0000  4 Si 2.54

---

[13]
Density functional theory data (meta-GGA SCAN) for a PBEsol-optimized structure of Be3TlSe.

Summary:
VASP energy: -20.1166 eV/atom
N(E_F): 3.37 states/eV/f.u.
Space group: No. 221

Unit cell a=4.5480 b=4.5480 c=4.5480 alpha=90.00 beta=90.00 gamma=90.00
Last column: nearest neighbours and their distance in Å.
Positions (direct):
Be: 0.0000 0.0000 0.5000  2 Tl 2.27
Be: 0.0000 0.5000 0.0000  2 Tl 2.27
Be: 0.5000 0.0000 0.0000  2 Tl 2.27
Tl: 0.0000 0.0000 0.0000  6 Be 2.27
Se: 0.5000 0.5000 0.5000  12 Be 3.22

---

[14]
Density functional theory data (meta-GGA SCAN) for a PBEsol-optimized structure of ScTaAs2Se.

Summary:
VASP energy: -27.5262 eV/atom
N(E_F): 4.43 states/eV/f.u.
Space group: No. 123

Unit cell a=4.8871 b=4.8871 c=4.8935 alpha=90.00 beta=90.00 gamma=90.00
Last column: nearest neighbours and their distance in Å.
Positions (direct):
Sc: 0.0000 0.0000 0.0000  4 As 2.44, 2 Se 2.45
Ta: 0.5000 0.5000 0.5000  4 Se 3.46, 8 As 3.46
As: 0.0000 0.5000 0.0000  2 Sc 2.44
As: 0.5000 0.0000 0.0000  2 Sc 2.44
Se: 0.0000 0.0000 0.5000  2 Sc 2.45